# 1
Computed, not measured: a geometry-optimized Th3CuPd3 structure at the PBE level of DFT.

Cell lengths 3.936, 4.228, 19.758 Å; angles 90.00, 90.00, 90.00 degrees
Space group Imm2 (No. 44)
Asymmetric unit:
Th: 0.000 0.000 0.000
Th: 0.000 0.000 0.357
Th: 0.000 0.500 0.179
Cu: 0.000 0.500 0.744
Pd: 0.000 0.000 0.518
Pd: 0.000 0.000 0.832
Pd: 0.000 0.500 0.616

Values from the calculation:
calculated total energy	-46.4	eV per formula unit

# 2
Computed, not measured: a geometry-optimized Th4CuPd structure at the PBE level of DFT.

Cell lengths 7.340, 7.340, 5.838 Å; angles 90.00, 90.00, 90.00 degrees
Space group P4/mcc (No. 124)
Asymmetric unit:
Th: 0.160 0.337 0.000
Cu: 0.000 0.000 0.250
Pd: 0.500 0.500 0.250

Values from the calculation:
calculated total energy	-40.8	eV per formula unit
ΔE to the lowest computed polymorph	0.000	eV/f.u.

# 3
Computed, not measured: a geometry-optimized Th3Cu2Pd3 structure at the PBE level of DFT.

Cell lengths 4.369, 10.673, 14.750 Å; angles 90.00, 90.00, 90.00 degrees
Space group Cmcm (No. 63)
Asymmetric unit:
Th: 0.000 0.091 0.101
Th: 0.000 0.361 0.250
Cu: 0.000 0.209 0.607
Pd: 0.000 0.364 0.750
Pd: 0.000 0.386 0.045

Values from the calculation:
calculated total energy	-50.5	eV per formula unit
ΔE to the lowest computed polymorph	0.000	eV/f.u.

# 4
Computed, not measured: a geometry-optimized Th2Cu15Pd2 structure at the PBE level of DFT.

Cell lengths 8.7538, 8.7538, 12.5000 Å; angles 90.00, 90.00, 120.00 degrees
Space group R-3m (No. 166, hexagonal axes)
Asymmetric unit:
Th: 0.0000 0.0000 0.1634
Cu: 0.0000 0.2933 0.5000
Cu: 0.0000 0.5000 0.0000
Cu: 0.0060 0.5030 0.6536
Pd: 0.0000 0.0000 0.3929

Values from the calculation:
calculated total energy	-89.9	eV per formula unit

# 5
Computed, not measured: a geometry-optimized Th3CuPd12 structure at the PBE level of DFT.

Cell lengths 4.215, 4.215, 16.058 Å; angles 90.00, 90.00, 90.00 degrees
Space group P4/mmm (No. 123)
Asymmetric unit:
Th: 0.000 0.000 0.000
Th: 0.000 0.000 0.268
Cu: 0.000 0.000 0.500
Pd: 0.000 0.500 0.130
Pd: 0.000 0.500 0.389
Pd: 0.500 0.500 0.000
Pd: 0.500 0.500 0.258
Pd: 0.500 0.500 0.500

Values from the calculation:
calculated total energy	-100.6	eV per formula unit

# 6
Computed, not measured: a geometry-optimized Th2Cu2Pd structure at the PBE level of DFT.

Cell lengths 7.185, 7.185, 8.257 Å; angles 90.00, 90.00, 90.00 degrees
Space group P4/mnc (No. 128)
Asymmetric unit:
Th: 0.177 0.323 0.000
Cu: 0.123 0.623 0.250
Pd: 0.000 0.000 0.249

Values from the calculation:
calculated total energy	-29.8	eV per formula unit
ΔE to the lowest computed polymorph	0.170	eV/f.u.

# 7
Computed, not measured: a geometry-optimized ThCuPd4 structure at the PBE level of DFT.

Cell lengths 5.250, 8.005, 5.538 Å; angles 90.00, 115.12, 90.00 degrees
Space group P2_1/c (No. 14)
Asymmetric unit:
Th: 0.000 0.000 0.000
Cu: 0.500 0.000 0.500
Pd: 0.119 0.153 0.599
Pd: 0.397 0.679 0.366

Values from the calculation:
calculated total energy	-35.3	eV per formula unit
ΔE to the lowest computed polymorph	0.231	eV/f.u.

# 8
Computed, not measured: a geometry-optimized Th3Cu2Pd5 structure at the PBE level of DFT.

Cell lengths 9.937, 9.937, 4.005 Å; angles 90.00, 90.00, 90.00 degrees
Space group P4/mbm (No. 127)
Asymmetric unit:
Th: 0.000 0.000 0.000
Th: 0.174 0.326 0.000
Cu: 0.120 0.620 0.000
Pd: 0.000 0.500 0.500
Pd: 0.067 0.786 0.500

Values from the calculation:
calculated total energy	-62.6	eV per formula unit

# 9
Computed, not measured: a geometry-optimized Th3Cu2Pd3 structure at the PBE level of DFT.

Cell lengths 4.418, 10.776, 14.169 Å; angles 90.00, 90.00, 90.00 degrees
Space group Cmcm (No. 63)
Asymmetric unit:
Th: 0.000 0.057 0.250
Th: 0.000 0.147 0.539
Cu: 0.000 0.330 0.165
Pd: 0.000 0.251 0.750
Pd: 0.000 0.439 0.596

Values from the calculation:
calculated total energy	-49.7	eV per formula unit
ΔE to the lowest computed polymorph	0.849	eV/f.u.

# 10
Computed, not measured: a geometry-optimized TmThCuPd structure at the PBE level of DFT.

Cell lengths 7.088, 7.088, 7.088 Å; angles 90.00, 90.00, 90.00 degrees
Space group F-43m (No. 216)
Asymmetric unit:
Tm: 0.000 0.000 0.000
Th: 0.000 0.000 0.500
Cu: 0.250 0.250 0.750
Pd: 0.250 0.250 0.250

Values from the calculation:
calculated total energy	-23.0	eV per formula unit
ΔE to the lowest computed polymorph	0.253	eV/f.u.

# 11
Computed, not measured: a geometry-optimized TmThCuPd structure at the PBE level of DFT.

Cell lengths 4.579, 3.711, 10.682 Å; angles 90.00, 90.00, 90.00 degrees
Space group Amm2 (No. 38)
Asymmetric unit:
Tm: 0.000 0.000 0.000
Th: 0.500 0.000 0.719
Cu: 0.000 0.000 0.281
Pd: 0.500 0.000 0.440

Values from the calculation:
calculated total energy	-23.3	eV per formula unit
ΔE to the lowest computed polymorph	0.000	eV/f.u.

# 12
Computed, not measured: a geometry-optimized YThCuPd structure at the PBE level of DFT.

Cell lengths 7.136, 7.136, 7.136 Å; angles 90.00, 90.00, 90.00 degrees
Space group F-43m (No. 216)
Asymmetric unit:
Y: 0.000 0.000 0.000
Th: 0.000 0.000 0.500
Cu: 0.250 0.250 0.250
Pd: 0.250 0.250 0.750

Values from the calculation:
calculated total energy	-24.9	eV per formula unit
ΔE to the lowest computed polymorph	0.297	eV/f.u.

# 13
Computed, not measured: a geometry-optimized YThCuPd structure at the PBE level of DFT.

Cell lengths 4.605, 3.751, 10.747 Å; angles 90.00, 90.00, 90.00 degrees
Space group Amm2 (No. 38)
Asymmetric unit:
Y: 0.000 0.000 0.000
Th: 0.500 0.000 0.280
Cu: 0.000 0.000 0.721
Pd: 0.500 0.000 0.563

Values from the calculation:
calculated total energy	-25.2	eV per formula unit
ΔE to the lowest computed polymorph	0.000	eV/f.u.

# 14
Computed, not measured: a geometry-optimized Th2Zn12Cu3Pd structure at the PBE level of DFT.

Cell lengths 5.9138, 5.9138, 32.4810 Å; angles 90.00, 90.00, 120.00 degrees
Space group R-3m (No. 166, hexagonal axes)
Asymmetric unit:
Th: 0.0000 0.0000 0.1407
Zn: 0.0052 0.5026 0.8928
Zn: 0.0428 0.5214 0.6161
Cu: 0.0000 0.5000 0.0000
Pd: 0.0000 0.0000 0.5000

Values from the calculation:
calculated total energy	-48.1	eV per formula unit

# 15
Computed, not measured: a geometry-optimized ThZnCuPd structure at the PBE level of DFT.

Cell lengths 4.4066, 4.4066, 13.9293 Å; angles 90.00, 90.00, 120.00 degrees
Space group R3m (No. 160, hexagonal axes)
Asymmetric unit:
Th: 0.0000 0.0000 0.0000
Zn: 0.0000 0.0000 0.4919
Cu: 0.0000 0.0000 0.7888
Pd: 0.0000 0.0000 0.2159

Values from the calculation:
calculated total energy	-19.8	eV per formula unit
ΔE to the lowest computed polymorph	0.000	eV/f.u.

# 16
Computed, not measured: a geometry-optimized Th2Zn3Cu12Pd structure at the PBE level of DFT.

Cell lengths 6.1892, 6.1892, 26.9431 Å; angles 90.00, 90.00, 120.00 degrees
Space group R-3m (No. 166, hexagonal axes)
Asymmetric unit:
Th: 0.0000 0.0000 0.1490
Zn: 0.0000 0.5000 0.0000
Cu: 0.0225 0.5112 0.0966
Cu: 0.0767 0.5384 0.6190
Pd: 0.0000 0.0000 0.5000

Values from the calculation:
calculated total energy	-70.9	eV per formula unit

# 17
Computed, not measured: a geometry-optimized ThZnCuPd structure at the PBE level of DFT.

Cell lengths 6.771, 6.771, 6.771 Å; angles 90.00, 90.00, 90.00 degrees
Space group F-43m (No. 216)
Asymmetric unit:
Th: 0.000 0.000 0.000
Zn: 0.000 0.000 0.500
Cu: 0.250 0.250 0.750
Pd: 0.250 0.250 0.250

Values from the calculation:
calculated total energy	-19.5	eV per formula unit
ΔE to the lowest computed polymorph	0.326	eV/f.u.

# 18
Computed, not measured: a geometry-optimized Ti2Cu6Pd structure at the PBE level of DFT.

Cell lengths 7.341, 12.735, 2.590 Å; angles 90.00, 90.00, 90.00 degrees
Space group Cmmm (No. 65)
Asymmetric unit:
Ti: 0.000 0.166 0.000
Cu: 0.166 0.334 0.500
Cu: 0.168 0.000 0.500
Pd: 0.000 0.500 0.000

Values from the calculation:
calculated total energy	-46.0	eV per formula unit

# 19
Computed, not measured: a geometry-optimized Ti2Cu3Pd3 structure at the PBE level of DFT.

Cell lengths 4.620, 4.692, 10.740 Å; angles 90.00, 90.00, 90.00 degrees
Space group Immm (No. 71)
Asymmetric unit:
Ti: 0.000 0.000 0.247
Cu: 0.000 0.000 0.500
Cu: 0.000 0.500 0.383
Pd: 0.000 0.000 0.000
Pd: 0.000 0.500 0.134

Values from the calculation:
calculated total energy	-46.0	eV per formula unit
ΔE to the lowest computed polymorph	0.670	eV/f.u.

# 20
Computed, not measured: a geometry-optimized Ti4CuPd structure at the PBE level of DFT.

Cell lengths 15.019, 5.250, 5.134 Å; angles 90.00, 97.54, 90.00 degrees
Space group C2/c (No. 15)
Asymmetric unit:
Ti: 0.078 0.131 0.453
Ti: 0.159 0.341 0.035
Cu: 0.250 0.250 0.500
Pd: 0.000 0.426 0.750

Values from the calculation:
calculated total energy	-40.6	eV per formula unit
ΔE to the lowest computed polymorph	1.938	eV/f.u.

| no. | ΔE_f (eV/atom) |
| --- | --- |
| 1 | -0.642 |
| 2 | -0.298 |
| 3 | -0.561 |
| 4 | -0.171 |
| 5 | -0.744 |
| 6 | -0.322 |
| 7 | -0.507 |
| 8 | -0.618 |
| 9 | -0.455 |
| 10 | -0.457 |
| 11 | -0.520 |
| 12 | -0.429 |
| 13 | -0.503 |
| 14 | -0.026 |
| 15 | -0.454 |
| 16 | 0.116 |
| 17 | -0.372 |
| 18 | -0.050 |
| 19 | -0.297 |
| 20 | 0.045 |